VASP calculation (GGA+U) on an optimized crystal structure of CuWO2F.

Calculated volume: 11.54 A^3/atom
N(E_F): 1.58 states/eV/cell
Total energy: -5.07 eV/atom

Lattice parameters (Å, degrees): 3.9288 3.9288 3.7394 90.00 90.00 90.00
Closest atoms and distances in Å follow each position.
Space group P4/mmm (No. 123)
One atom of each set of equivalent atoms:
Cu (0.0000, 0.0000, 0.0000) [1 per cell]  2 F 1.87, 4 O 1.96
W (0.5000, 0.5000, 0.5000) [1 per cell]  8 O 2.71, 4 F 2.78
O (0.0000, 0.5000, 0.0000) [2 per cell]  2 Cu 1.96
F (0.0000, 0.0000, 0.5000) [1 per cell]  2 Cu 1.87